No. 1
The following is a PBE calculation of a relaxed structure of Ta2CrFe2, from the Alexandria database.

CIF file:
```
data_Ta2CrFe2
_cell_length_a 5.886
_cell_length_b 5.886
_cell_length_c 4.078
_cell_angle_alpha 90.00
_cell_angle_beta 90.00
_cell_angle_gamma 90.00
_symmetry_space_group_name_H-M 'P 4/m b m'
_symmetry_Int_Tables_number 127
_symmetry_space_group_name_Hall '-P 4 2ab'
loop_
_atom_site_label
_atom_site_fract_x
_atom_site_fract_y
_atom_site_fract_z
Ta1 0.180 0.320 0.000
Cr1 0.000 0.000 0.500
Fe1 0.137 0.637 0.500
```

Output
Formation energy from the elements = 55 meV/atom
Total magnetic moment = 0.0 Bohr magnetons per cell
Final energy = -10.00 eV/atom

No. 2
The following is a PBE calculation of a relaxed structure of NdGdSb2, from the Alexandria database.

CIF file:
```
data_NdGdSb2
_cell_length_a 4.4714
_cell_length_b 4.4714
_cell_length_c 21.9065
_cell_angle_alpha 90.00
_cell_angle_beta 90.00
_cell_angle_gamma 120.00
_symmetry_space_group_name_H-M 'R -3 m'
_symmetry_Int_Tables_number 166
_symmetry_space_group_name_Hall '-R 3 2"'
loop_
_atom_site_label
_atom_site_fract_x
_atom_site_fract_y
_atom_site_fract_z
Nd1 0.0000 0.0000 0.0000
Gd1 0.0000 0.0000 0.5000
Sb1 0.0000 0.0000 0.2475
```

Output
Formation energy from raw total energies = -1.1784 eV/atom
Total magnetic moment = 21.2 Bohr magnetons per cell
Final energy = -7.95 eV/atom